(1)
! La2MnBiC (GGA-PBE, relaxed); values from VASP
! Energy of formation, kcal/mol of atoms: -7.92
! DOS(E_F), states/eV/f.u.: 3.73
! Space group: No. 123
&SYSTEM
  ibrav = 0, nat = 5, ntyp = 4
/
ATOMIC_SPECIES
La 138.91 La.upf
Mn 54.94 Mn.upf
Bi 208.98 Bi.upf
C 12.01 C.upf
ATOMIC_POSITIONS crystal
La 0.000 0.500 0.000
La 0.500 0.000 0.000
Mn 0.000 0.000 0.500
Bi 0.500 0.500 0.500
C 0.000 0.000 0.000
CELL_PARAMETERS angstrom
5.457 0.000 0.000
0.000 5.457 0.000
0.000 0.000 4.047

***

(2)
! NaLaBiC2 (GGA-PBE, relaxed); values from VASP
! Energy of formation, kcal/mol of atoms: 48.64
! DOS(E_F), states/eV/f.u.: 2.66
! Space group: No. 123
&SYSTEM
  ibrav = 0, nat = 5, ntyp = 4
/
ATOMIC_SPECIES
Na 22.99 Na.upf
La 138.91 La.upf
Bi 208.98 Bi.upf
C 12.01 C.upf
ATOMIC_POSITIONS crystal
Na 0.000 0.000 0.000
La 0.500 0.500 0.000
Bi 0.500 0.500 0.500
C 0.000 0.500 0.500
C 0.500 0.000 0.500
CELL_PARAMETERS angstrom
4.799 0.000 0.000
0.000 4.799 0.000
0.000 0.000 6.026

***

(3)
! La2NdBiC (GGA-PBE, relaxed); values from VASP
! Energy of formation, kcal/mol of atoms: -11.11
! DOS(E_F), states/eV/f.u.: 3.49
! Space group: No. 123
&SYSTEM
  ibrav = 0, nat = 5, ntyp = 4
/
ATOMIC_SPECIES
La 138.91 La.upf
Nd 144.24 Nd.upf
Bi 208.98 Bi.upf
C 12.01 C.upf
ATOMIC_POSITIONS crystal
La 0.000 0.500 0.000
La 0.500 0.000 0.000
Nd 0.000 0.000 0.500
Bi 0.500 0.500 0.500
C 0.000 0.000 0.000
CELL_PARAMETERS angstrom
5.214 0.000 0.000
0.000 5.214 0.000
0.000 0.000 5.156

***

(4)
! LaNiBiC2 (GGA-PBE, relaxed); values from VASP
! Energy of formation, kcal/mol of atoms: 54.63
! Excess energy over the best structure of this formula in the dataset, meV/atom: 778
! DOS(E_F), states/eV/f.u.: 8.20
! Space group: No. 123
&SYSTEM
  ibrav = 0, nat = 5, ntyp = 4
/
ATOMIC_SPECIES
La 138.91 La.upf
Ni 58.69 Ni.upf
Bi 208.98 Bi.upf
C 12.01 C.upf
ATOMIC_POSITIONS crystal
La 0.000 0.000 0.000
Ni 0.500 0.500 0.000
Bi 0.000 0.000 0.500
C 0.000 0.500 0.500
C 0.500 0.000 0.500
CELL_PARAMETERS angstrom
4.448 0.000 0.000
0.000 4.448 0.000
0.000 0.000 6.405

***

(5)
! LaNiBiC2 (GGA-PBE, relaxed); values from VASP
! Energy of formation, kcal/mol of atoms: 36.68
! Excess energy over the best structure of this formula in the dataset, meV/atom: 0
! DOS(E_F), states/eV/f.u.: 2.95
! Space group: No. 123
&SYSTEM
  ibrav = 0, nat = 5, ntyp = 4
/
ATOMIC_SPECIES
La 138.91 La.upf
Ni 58.69 Ni.upf
Bi 208.98 Bi.upf
C 12.01 C.upf
ATOMIC_POSITIONS crystal
La 0.000 0.000 0.000
Ni 0.500 0.500 0.000
Bi 0.500 0.500 0.500
C 0.000 0.500 0.500
C 0.500 0.000 0.500
CELL_PARAMETERS angstrom
4.590 0.000 0.000
0.000 4.590 0.000
0.000 0.000 4.643

***

(6)
! La2NiBiC (GGA-PBE, relaxed); values from VASP
! Energy of formation, kcal/mol of atoms: -10.19
! DOS(E_F), states/eV/f.u.: 3.03
! Space group: No. 123
&SYSTEM
  ibrav = 0, nat = 5, ntyp = 4
/
ATOMIC_SPECIES
La 138.91 La.upf
Ni 58.69 Ni.upf
Bi 208.98 Bi.upf
C 12.01 C.upf
ATOMIC_POSITIONS crystal
La 0.000 0.500 0.000
La 0.500 0.000 0.000
Ni 0.000 0.000 0.500
Bi 0.500 0.500 0.500
C 0.000 0.000 0.000
CELL_PARAMETERS angstrom
5.536 0.000 0.000
0.000 5.536 0.000
0.000 0.000 3.774

***

(7)
! LaNi2BiC (GGA-PBE, relaxed); values from VASP
! Energy of formation, kcal/mol of atoms: 52.06
! DOS(E_F), states/eV/f.u.: 4.16
! Space group: No. 123
&SYSTEM
  ibrav = 0, nat = 5, ntyp = 4
/
ATOMIC_SPECIES
La 138.91 La.upf
Ni 58.69 Ni.upf
Bi 208.98 Bi.upf
C 12.01 C.upf
ATOMIC_POSITIONS crystal
La 0.000 0.000 0.000
Ni 0.000 0.500 0.000
Ni 0.500 0.000 0.000
Bi 0.000 0.000 0.500
C 0.500 0.500 0.500
CELL_PARAMETERS angstrom
4.610 0.000 0.000
0.000 4.610 0.000
0.000 0.000 6.410

***

(8)
! LaBi2C2O2 (GGA-PBE, relaxed); values from VASP
! DOS(E_F), states/eV/f.u.: 4.40
! Formation energy without anion corrections, meV per atom: -135
! Space group: No. 139
&SYSTEM
  ibrav = 0, nat = 7, ntyp = 4
/
ATOMIC_SPECIES
La 138.91 La.upf
Bi 208.98 Bi.upf
C 12.01 C.upf
O 16.00 O.upf
ATOMIC_POSITIONS crystal
La 0.000 0.000 0.000
Bi 0.180 0.180 0.000
Bi 0.820 0.820 0.000
C 0.464 0.464 0.000
C 0.536 0.536 0.000
O 0.250 0.750 0.500
O 0.750 0.250 0.500
CELL_PARAMETERS angstrom
-1.957 1.957 9.055
1.957 -1.957 9.055
1.957 1.957 -9.055

***

no.,total energy (Ry per atom)
1,-0.4975
2,-0.2650
3,-0.4430
4,-0.3115
5,-0.3687
6,-0.4550
7,-0.2691
8,-0.4410